No. 1
# GdInPd, optimized geometry, DFT PBE
data_GdInPd
_space_group_name_H-M_alt 'P -6 m 2'
_space_group_IT_number 187
_space_group_name_Hall 'P -6 2'
_cell_length_a 4.7247
_cell_length_b 4.7247
_cell_length_c 3.5985
_cell_angle_alpha 90.00
_cell_angle_beta 90.00
_cell_angle_gamma 120.00
loop_
_atom_site_label
_atom_site_fract_x
_atom_site_fract_y
_atom_site_fract_z
_atom_site_occupancy
Gd1 0.0000 0.0000 0.0000 1
In1 0.6667 0.3333 0.5000 1
Pd1 0.3333 0.6667 0.5000 1
# DFT total energy, eV/cell: -24.06

No. 2
# BiSb2HI, optimized geometry, DFT PBE
data_BiSb2HI
_space_group_name_H-M_alt 'P 4/m m m'
_space_group_IT_number 123
_space_group_name_Hall '-P 4 2'
_cell_length_a 4.592
_cell_length_b 4.592
_cell_length_c 6.077
_cell_angle_alpha 90.00
_cell_angle_beta 90.00
_cell_angle_gamma 90.00
loop_
_atom_site_label
_atom_site_fract_x
_atom_site_fract_y
_atom_site_fract_z
_atom_site_occupancy
Bi1 0.000 0.000 0.000 1
Sb1 0.000 0.500 0.500 1
H1 0.500 0.500 0.500 1
I1 0.500 0.500 0.000 1
# ΔE to the lowest computed polymorph, eV/f.u.: 0.000

No. 3
# InHgPd, optimized geometry, DFT PBE
data_InHgPd
_space_group_name_H-M_alt 'F -4 3 m'
_space_group_IT_number 216
_space_group_name_Hall 'F -4 2 3'
_cell_length_a 6.471
_cell_length_b 6.471
_cell_length_c 6.471
_cell_angle_alpha 90.00
_cell_angle_beta 90.00
_cell_angle_gamma 90.00
loop_
_atom_site_label
_atom_site_fract_x
_atom_site_fract_y
_atom_site_fract_z
_atom_site_occupancy
In1 0.000 0.000 0.000 1
Hg1 0.000 0.000 0.500 1
Pd1 0.250 0.250 0.250 1
# DFT total energy, eV/cell: -35.46

No. 4
# Rb3Pr3NbSe8, optimized geometry, DFT PBE
data_Rb3Pr3NbSe8
_space_group_name_H-M_alt 'R -3 m'
_space_group_IT_number 166
_space_group_name_Hall '-R 3 2"'
_cell_length_a 8.4954
_cell_length_b 8.4954
_cell_length_c 24.6085
_cell_angle_alpha 90.00
_cell_angle_beta 90.00
_cell_angle_gamma 120.00
loop_
_atom_site_label
_atom_site_fract_x
_atom_site_fract_y
_atom_site_fract_z
_atom_site_occupancy
Rb1 0.0000 0.5000 0.0000 1
Pr1 0.0000 0.5000 0.5000 1
Nb1 0.0000 0.0000 0.5000 1
Se1 0.0000 0.0000 0.2350 1
Se2 0.0312 0.5156 0.2294 1
# E_form (uncorrected), eV/atom: -1.475

No. 5
# AlTe2Br, optimized geometry, DFT PBE
data_AlTe2Br
_space_group_name_H-M_alt 'F -4 3 m'
_space_group_IT_number 216
_space_group_name_Hall 'F -4 2 3'
_cell_length_a 7.508
_cell_length_b 7.508
_cell_length_c 7.508
_cell_angle_alpha 90.00
_cell_angle_beta 90.00
_cell_angle_gamma 90.00
loop_
_atom_site_label
_atom_site_fract_x
_atom_site_fract_y
_atom_site_fract_z
_atom_site_occupancy
Al1 0.000 0.000 0.000 1
Te1 0.000 0.000 0.500 1
Te2 0.250 0.250 0.750 1
Br1 0.250 0.250 0.250 1
# E_form (uncorrected), eV/atom: 0.234
# ΔE to the lowest computed polymorph, eV/f.u.: 2.444

No. 6
# CsHg6Pd3, optimized geometry, DFT PBE
data_CsHg6Pd3
_space_group_name_H-M_alt 'P 1'
_space_group_IT_number 1
_space_group_name_Hall 'P 1'
_cell_length_a 7.221
_cell_length_b 7.251
_cell_length_c 7.362
_cell_angle_alpha 89.85
_cell_angle_beta 60.80
_cell_angle_gamma 60.22
loop_
_atom_site_label
_atom_site_fract_x
_atom_site_fract_y
_atom_site_fract_z
_atom_site_occupancy
Cs1 0.000 0.000 0.000 1
Hg1 0.318 0.202 0.506 1
Hg2 0.510 0.972 0.995 1
Hg3 0.541 0.511 0.983 1
Hg4 0.698 0.486 0.505 1
Hg5 0.969 0.522 0.988 1
Hg6 0.971 0.837 0.509 1
Pd1 0.175 0.426 0.239 1
Pd2 0.453 0.776 0.322 1
Pd3 0.499 0.257 0.747 1
# DFT total energy, eV/cell: -19.11

No. 7
# MnGeIr3, optimized geometry, DFT PBE
data_MnGeIr3
_space_group_name_H-M_alt 'P m -3 m'
_space_group_IT_number 221
_space_group_name_Hall '-P 4 2 3'
_cell_length_a 4.507
_cell_length_b 4.507
_cell_length_c 4.507
_cell_angle_alpha 90.00
_cell_angle_beta 90.00
_cell_angle_gamma 90.00
loop_
_atom_site_label
_atom_site_fract_x
_atom_site_fract_y
_atom_site_fract_z
_atom_site_occupancy
Mn1 0.000 0.000 0.000 1
Ge1 0.500 0.500 0.500 1
Ir1 0.000 0.500 0.500 1
# ΔE to the lowest computed polymorph, eV/f.u.: 1.454

No. 8
# YTa2Fe2, optimized geometry, DFT PBE
data_YTa2Fe2
_space_group_name_H-M_alt 'I 4/m m m'
_space_group_IT_number 139
_space_group_name_Hall '-I 4 2'
_cell_length_a 4.240
_cell_length_b 4.240
_cell_length_c 9.984
_cell_angle_alpha 90.00
_cell_angle_beta 90.00
_cell_angle_gamma 90.00
loop_
_atom_site_label
_atom_site_fract_x
_atom_site_fract_y
_atom_site_fract_z
_atom_site_occupancy
Y1 0.000 0.000 0.000 1
Ta1 0.000 0.500 0.250 1
Fe1 0.000 0.000 0.386 1
# ΔE to the lowest computed polymorph, eV/f.u.: 0.000

Copy entry 6 word for word.
# CsHg6Pd3, optimized geometry, DFT PBE
data_CsHg6Pd3
_space_group_name_H-M_alt 'P 1'
_space_group_IT_number 1
_space_group_name_Hall 'P 1'
_cell_length_a 7.221
_cell_length_b 7.251
_cell_length_c 7.362
_cell_angle_alpha 89.85
_cell_angle_beta 60.80
_cell_angle_gamma 60.22
loop_
_atom_site_label
_atom_site_fract_x
_atom_site_fract_y
_atom_site_fract_z
_atom_site_occupancy
Cs1 0.000 0.000 0.000 1
Hg1 0.318 0.202 0.506 1
Hg2 0.510 0.972 0.995 1
Hg3 0.541 0.511 0.983 1
Hg4 0.698 0.486 0.505 1
Hg5 0.969 0.522 0.988 1
Hg6 0.971 0.837 0.509 1
Pd1 0.175 0.426 0.239 1
Pd2 0.453 0.776 0.322 1
Pd3 0.499 0.257 0.747 1
# DFT total energy, eV/cell: -19.11

Please write out number 8 again, unchanged.
# YTa2Fe2, optimized geometry, DFT PBE
data_YTa2Fe2
_space_group_name_H-M_alt 'I 4/m m m'
_space_group_IT_number 139
_space_group_name_Hall '-I 4 2'
_cell_length_a 4.240
_cell_length_b 4.240
_cell_length_c 9.984
_cell_angle_alpha 90.00
_cell_angle_beta 90.00
_cell_angle_gamma 90.00
loop_
_atom_site_label
_atom_site_fract_x
_atom_site_fract_y
_atom_site_fract_z
_atom_site_occupancy
Y1 0.000 0.000 0.000 1
Ta1 0.000 0.500 0.250 1
Fe1 0.000 0.000 0.386 1
# ΔE to the lowest computed polymorph, eV/f.u.: 0.000

What did the second record say?
# BiSb2HI, optimized geometry, DFT PBE
data_BiSb2HI
_space_group_name_H-M_alt 'P 4/m m m'
_space_group_IT_number 123
_space_group_name_Hall '-P 4 2'
_cell_length_a 4.592
_cell_length_b 4.592
_cell_length_c 6.077
_cell_angle_alpha 90.00
_cell_angle_beta 90.00
_cell_angle_gamma 90.00
loop_
_atom_site_label
_atom_site_fract_x
_atom_site_fract_y
_atom_site_fract_z
_atom_site_occupancy
Bi1 0.000 0.000 0.000 1
Sb1 0.000 0.500 0.500 1
H1 0.500 0.500 0.500 1
I1 0.500 0.500 0.000 1
# ΔE to the lowest computed polymorph, eV/f.u.: 0.000